# 1
Entry from Alexandria: an optimized crystal structure of Pm5DyPt6 (PBE).

Geometry as POSCAR:
```
Pm5DyPt6
1.0
8.025 -3.534 0.000
8.025 3.534 0.000
-1.571 0.000 4.816
Pm Dy Pt
5 1 6
Direct
0.000 0.000 0.000
0.166 0.166 0.667
0.333 0.333 0.333
0.667 0.667 0.667
0.834 0.834 0.333
0.500 0.500 0.000
0.094 0.584 0.839
0.258 0.742 0.500
0.416 0.906 0.161
0.584 0.094 0.839
0.742 0.258 0.500
0.906 0.416 0.161
```

Properties
For the formation energy, the calculation gives -1.10 eV per atom.



# 2
Entry from Alexandria: an optimized crystal structure of PmDy2Pt (PBE).

Geometry as POSCAR:
```
PmDy2Pt
1.0
3.959 0.000 0.000
-1.980 3.429 0.000
0.000 0.000 27.053
Pm Dy Pt
3 6 3
Direct
0.000 0.000 0.000
0.333 0.667 0.667
0.667 0.333 0.333
0.000 0.000 0.557
0.000 0.000 0.771
0.333 0.667 0.224
0.333 0.667 0.438
0.667 0.333 0.105
0.667 0.333 0.891
0.000 0.000 0.164
0.333 0.667 0.830
0.667 0.333 0.497
```

Properties
For the formation energy, the calculation gives -0.54 eV per atom.



# 3
Entry from Alexandria: an optimized crystal structure of PmDy2Pt (PBE).

Geometry as POSCAR:
```
PmDy2Pt
1.0
3.825 0.000 0.000
0.000 9.316 0.000
-1.906 0.000 6.205
Pm Dy Pt
2 4 2
Direct
0.065 0.250 0.130
0.935 0.750 0.870
0.362 0.062 0.723
0.362 0.438 0.723
0.638 0.562 0.277
0.638 0.938 0.277
0.237 0.750 0.475
0.763 0.250 0.525
```

Properties
For the formation energy, the calculation gives -0.66 eV per atom.



# 4
Entry from Alexandria: an optimized crystal structure of Pm2DyPt (PBE).

Geometry as POSCAR:
```
Pm2DyPt
1.0
3.457 0.000 0.000
-1.728 2.994 0.000
0.000 0.000 33.877
Pm Dy Pt
6 3 3
Direct
0.000 0.000 0.079
0.000 0.000 0.921
0.333 0.667 0.587
0.333 0.667 0.746
0.667 0.333 0.254
0.667 0.333 0.413
0.000 0.000 0.500
0.333 0.667 0.167
0.667 0.333 0.833
0.000 0.000 0.000
0.333 0.667 0.667
0.667 0.333 0.333
```

Properties
For the formation energy, the calculation gives 0.13 eV per atom.



# 5
Entry from Alexandria: an optimized crystal structure of Pm2Dy3Pt2 (PBE).

Geometry as POSCAR:
```
Pm2Dy3Pt2
1.0
12.456 0.000 0.000
0.000 3.782 0.000
-4.131 0.000 8.144
Pm Dy Pt
4 6 4
Direct
0.162 0.000 0.312
0.338 0.500 0.688
0.662 0.500 0.312
0.838 0.000 0.688
0.000 0.500 0.500
0.116 0.500 0.935
0.384 0.000 0.065
0.500 0.000 0.500
0.616 0.000 0.935
0.884 0.500 0.065
0.170 0.000 0.740
0.330 0.500 0.260
0.670 0.500 0.740
0.830 0.000 0.260
```

Properties
For the formation energy, the calculation gives -0.77 eV per atom.



# 6
Entry from Alexandria: an optimized crystal structure of PmDy2Pt3 (PBE).

Geometry as POSCAR:
```
PmDy2Pt3
1.0
4.115 0.000 0.000
0.000 5.796 0.000
0.000 0.000 12.277
Pm Dy Pt
2 4 6
Direct
0.000 0.000 0.000
0.500 0.500 0.500
0.000 0.000 0.335
0.000 0.000 0.665
0.500 0.500 0.165
0.500 0.500 0.835
0.000 0.500 0.000
0.000 0.500 0.328
0.000 0.500 0.672
0.500 0.000 0.172
0.500 0.000 0.500
0.500 0.000 0.828
```

Properties
For the formation energy, the calculation gives -1.11 eV per atom.



What is the formula in the fourth record?
Pm2DyPt